# 1
Np2UP3: relaxed, PBE.

The structure belongs to space group Immm (No. 71); the cell edges are 3.9699, 5.5921 and 11.8187 Å and the angles 90.00°, 90.00° and 90.00°. The distinct sites, in fractional coordinates, are Np at (0.0000, 0.0000, 0.1669), U at (0.0000, 0.0000, 0.5000), P at (0.0000, 0.5000, 0.1661) and P at (0.0000, 0.5000, 0.5000).

The calculation puts the calculated total energy at -0.3601 hartree per atom. The theoretical density comes out at 10.19 g/cm3. The value obtained for the density of states at the Fermi level is 37.6 states/eV per cell. As for the formation energy: -0.900 eV per atom.

---

# 2
MgBi3Mo: relaxed, PBE.

The structure belongs to space group Pm-3m (No. 221); the cell edges are 5.4264, 5.4264 and 5.4264 Å and the angles 90.00°, 90.00° and 90.00°. The distinct sites, in fractional coordinates, are Mg at (0.0000, 0.0000, 0.0000), Bi at (0.0000, 0.5000, 0.5000) and Mo at (0.5000, 0.5000, 0.5000).

The calculation puts the calculated total energy at -0.1561 hartree per atom. The theoretical density comes out at 7.77 g/cm3. The value obtained for the density of states at the Fermi level is 6.5 states/eV per cell. The value obtained for the energy above the lowest structure with this stoichiometry is 0.0 meV per atom. As for the formation energy: 0.565 eV per atom.

---

# 3
BiSbPt4: relaxed, PBE.

The structure belongs to space group F-43m (No. 216); the cell edges are 7.7376, 7.7376 and 7.7376 Å and the angles 90.00°, 90.00° and 90.00°. The distinct sites, in fractional coordinates, are Bi at (0.0000, 0.0000, 0.0000), Sb at (0.2500, 0.2500, 0.7500) and Pt at (0.1249, 0.1249, 0.3751).

For the uncorrected formation energy, the calculation gives -0.045 eV/atom. The calculation puts the calculated total energy at -0.1987 hartree per atom. The theoretical density comes out at 15.93 g/cm3. The value obtained for the density of states at the Fermi level is 16.3 states/eV per cell. The value obtained for the energy above the lowest structure with this stoichiometry is 90.8 meV per atom.

---

# 4
Li2MgHAu: relaxed, PBE.

The structure belongs to space group P4/mmm (No. 123); the cell edges are 3.9741, 3.9741 and 4.2841 Å and the angles 90.00°, 90.00° and 90.00°. The distinct sites, in fractional coordinates, are Li at (0.0000, 0.5000, 0.0000), Mg at (0.0000, 0.0000, 0.5000), H at (0.0000, 0.0000, 0.0000) and Au at (0.5000, 0.5000, 0.5000).

The calculation puts the calculated total energy at -0.1028 hartree per atom. The theoretical density comes out at 5.80 g/cm3. The value obtained for the density of states at the Fermi level is 1.7 states/eV per cell.

---

# 5
LaPmDyY3: relaxed, PBE.

The structure belongs to space group Cmcm (No. 63); the cell edges are 5.9304, 11.4335 and 11.8709 Å and the angles 90.00°, 90.00° and 90.00°. The distinct sites, in fractional coordinates, are La at (0.0000, 0.0010, 0.2500), Pm at (0.0000, 0.5000, 0.0000), Dy at (0.0000, 0.3288, 0.7500), Y at (0.0000, 0.1737, 0.5011) and Y at (0.0000, 0.3282, 0.2500).

The calculation puts the calculated total energy at -0.2023 hartree per atom. The theoretical density comes out at 5.88 g/cm3. The value obtained for the density of states at the Fermi level is 51.5 states/eV per cell. As for the formation energy: 0.107 eV per atom.

---

# 6
ZrCdAu: relaxed, PBE.

The structure belongs to space group Imm2 (No. 44); the cell edges are 3.0625, 4.4296 and 8.8885 Å and the angles 90.00°, 90.00° and 90.00°. The distinct sites, in fractional coordinates, are Zr at (0.0000, 0.0000, 0.0000), Cd at (0.0000, 0.0000, 0.3323) and Au at (0.0000, 0.0000, 0.6651).

The calculation puts the calculated total energy at -0.1645 hartree per atom. The theoretical density comes out at 11.03 g/cm3. The value obtained for the density of states at the Fermi level is 3.4 states/eV per cell. As for the formation energy: -0.229 eV per atom.

---

What did we get for magnetization? Answer: 9.63 0.00 0.00 0.00 0.00 0.00 μB/f.u., in the order shown.